No. 1
# Sr2Nb2Os, relaxed, DFT PBE
# Total magnetization   0.00 μB per cell
# Volume   25.3 A^3/atom
# Formation enthalpy at 0 K   2.50 eV/f.u.
# Energy above the most stable polymorph in this dataset   0 meV per atom
data_Sr2Nb2Os
_chemical_formula_sum 'Sr4 Nb4 Os2'
_cell_length_a 6.689
_cell_length_b 6.689
_cell_length_c 5.657
_cell_angle_alpha 90.00
_cell_angle_beta 90.00
_cell_angle_gamma 90.00
_space_group_name_H-M_alt 'P 4/m b m'
_space_group_IT_number 127
_space_group_name_Hall '-P 4 2ab'
loop_
_atom_site_label
_atom_site_type_symbol
_atom_site_fract_x
_atom_site_fract_y
_atom_site_fract_z
Sr1 Sr 0.182 0.318 0.000
Nb1 Nb 0.143 0.643 0.500
Os1 Os 0.000 0.000 0.500

---

No. 2
# BaNaCdGa, relaxed, DFT PBE
# Total magnetization   0.00 μB per cell
# Volume   30.9 A^3/atom
# Formation enthalpy at 0 K   -0.60 eV/f.u.
data_BaNaCdGa
_chemical_formula_sum 'Ba4 Na4 Cd4 Ga4'
_cell_length_a 7.906
_cell_length_b 7.906
_cell_length_c 7.906
_cell_angle_alpha 90.00
_cell_angle_beta 90.00
_cell_angle_gamma 90.00
_space_group_name_H-M_alt 'F -4 3 m'
_space_group_IT_number 216
_space_group_name_Hall 'F -4 2 3'
loop_
_atom_site_label
_atom_site_type_symbol
_atom_site_fract_x
_atom_site_fract_y
_atom_site_fract_z
Ba1 Ba 0.000 0.000 0.000
Na1 Na 0.000 0.000 0.500
Cd1 Cd 0.250 0.250 0.250
Ga1 Ga 0.250 0.250 0.750

---

No. 3
# PrPd12Au7, relaxed, DFT PBE
# Total magnetization   0.00 μB per cell
# Volume   22.9 A^3/atom
# Formation enthalpy at 0 K   6.48 eV/f.u.
data_PrPd12Au7
_chemical_formula_sum 'Pr2 Pd24 Au14'
_cell_length_a 9.706
_cell_length_b 9.706
_cell_length_c 9.706
_cell_angle_alpha 90.00
_cell_angle_beta 90.00
_cell_angle_gamma 90.00
_space_group_name_H-M_alt 'I m -3'
_space_group_IT_number 204
_space_group_name_Hall '-I 2 2 3'
loop_
_atom_site_label
_atom_site_type_symbol
_atom_site_fract_x
_atom_site_fract_y
_atom_site_fract_z
Pr1 Pr 0.000 0.000 0.000
Pd1 Pd 0.000 0.143 0.260
Au1 Au 0.000 0.000 0.500
Au2 Au 0.250 0.250 0.250

---

No. 4
# TaAgTe4, relaxed, DFT PBE
# Formation energy from raw total energies   -0.087 eV per atom
# Total magnetization   0.00 μB per cell
# Volume   29.4 A^3/atom
# Energy above the most stable polymorph in this dataset   99 meV per atom
data_TaAgTe4
_chemical_formula_sum 'Ta4 Ag4 Te16'
_cell_length_a 9.237
_cell_length_b 15.339
_cell_length_c 6.249
_cell_angle_alpha 90.00
_cell_angle_beta 127.28
_cell_angle_gamma 90.00
_space_group_name_H-M_alt 'C 1 2/c 1'
_space_group_IT_number 15
loop_
_space_group_symop_operation_xyz
'x,y,z'
'-x,-y,-z'
'-x,y,-z+1/2'
'x,-y,z+1/2'
'x+1/2,y+1/2,z'
'-x+1/2,-y+1/2,-z'
'-x+1/2,y+1/2,-z+1/2'
'x+1/2,-y+1/2,z+1/2'
loop_
_atom_site_label
_atom_site_type_symbol
_atom_site_fract_x
_atom_site_fract_y
_atom_site_fract_z
Ta1 Ta 0.000 0.048 0.250
Ag1 Ag 0.000 0.290 0.750
Te1 Te 0.206 0.191 0.631
Te2 Te 0.247 0.438 0.844

---

No. 5
# SmSn12Rh6, relaxed, DFT PBE
# Total magnetization   0.00 μB per cell
# Volume   22.2 A^3/atom
# Formation enthalpy at 0 K   -5.61 eV/f.u.
data_SmSn12Rh6
_chemical_formula_sum 'Sm3 Sn36 Rh18'
_cell_length_a 12.7346
_cell_length_b 12.7346
_cell_length_c 9.0014
_cell_angle_alpha 90.00
_cell_angle_beta 90.00
_cell_angle_gamma 120.00
_space_group_name_H-M_alt 'R -3 m'
_space_group_IT_number 166
_space_group_name_Hall '-R 3 2"'
loop_
_atom_site_label
_atom_site_type_symbol
_atom_site_fract_x
_atom_site_fract_y
_atom_site_fract_z
Sm1 Sm 0.0000 0.0000 0.0000
Sn1 Sn 0.0000 0.3781 0.5000
Sn2 Sn 0.0843 0.1686 0.3098
Rh1 Rh 0.0568 0.5284 0.2451

---

No. 6
# PuAs2Pd6, relaxed, DFT PBE
# Total magnetization   5.07 μB per cell
# Volume   20.0 A^3/atom
# Formation enthalpy at 0 K   -2.59 eV/f.u.
# Energy above the most stable polymorph in this dataset   107 meV per atom
data_PuAs2Pd6
_chemical_formula_sum 'Pu1 As2 Pd6'
_cell_length_a 5.6184
_cell_length_b 5.6184
_cell_length_c 6.5696
_cell_angle_alpha 90.00
_cell_angle_beta 90.00
_cell_angle_gamma 120.00
_space_group_name_H-M_alt 'P 6/m m m'
_space_group_IT_number 191
_space_group_name_Hall '-P 6 2'
loop_
_atom_site_label
_atom_site_type_symbol
_atom_site_fract_x
_atom_site_fract_y
_atom_site_fract_z
Pu1 Pu 0.0000 0.0000 0.0000
As1 As 0.3333 0.6667 0.5000
Pd1 Pd 0.0000 0.5000 0.2105

---

No. 7
# Pu2HfPt3, relaxed, DFT PBE
# Total magnetization   20.65 μB per cell
# Volume   22.8 A^3/atom
# Formation enthalpy at 0 K   -4.46 eV/f.u.
data_Pu2HfPt3
_chemical_formula_sum 'Pu4 Hf2 Pt6'
_cell_length_a 4.076
_cell_length_b 5.648
_cell_length_c 11.864
_cell_angle_alpha 90.00
_cell_angle_beta 90.00
_cell_angle_gamma 90.00
_space_group_name_H-M_alt 'I m m m'
_space_group_IT_number 71
_space_group_name_Hall '-I 2 2'
loop_
_atom_site_label
_atom_site_type_symbol
_atom_site_fract_x
_atom_site_fract_y
_atom_site_fract_z
Pu1 Pu 0.000 0.000 0.169
Hf1 Hf 0.000 0.000 0.500
Pt1 Pt 0.000 0.500 0.152
Pt2 Pt 0.000 0.500 0.500

---

No. 8
# ZrTe2Mo, relaxed, DFT PBE
# Formation energy from raw total energies   -0.112 eV per atom
# Total magnetization   7.35 μB per cell
# Volume   21.0 A^3/atom
# Energy above the most stable polymorph in this dataset   204 meV per atom
data_ZrTe2Mo
_chemical_formula_sum 'Zr4 Te8 Mo4'
_cell_length_a 6.947
_cell_length_b 6.947
_cell_length_c 6.947
_cell_angle_alpha 90.00
_cell_angle_beta 90.00
_cell_angle_gamma 90.00
_space_group_name_H-M_alt 'F m -3 m'
_space_group_IT_number 225
_space_group_name_Hall '-F 4 2 3'
loop_
_atom_site_label
_atom_site_type_symbol
_atom_site_fract_x
_atom_site_fract_y
_atom_site_fract_z
Zr1 Zr 0.000 0.000 0.000
Te1 Te 0.250 0.250 0.250
Mo1 Mo 0.000 0.000 0.500

---

No. 9
# MgZnBH2, relaxed, DFT PBE
# Total magnetization   0.00 μB per cell
# Volume   14.7 A^3/atom
# Total energy   -12.2 eV for the cell shown
data_MgZnBH2
_chemical_formula_sum 'Mg1 Zn1 B1 H2'
_cell_length_a 3.328
_cell_length_b 3.328
_cell_length_c 6.623
_cell_angle_alpha 90.00
_cell_angle_beta 90.00
_cell_angle_gamma 90.00
_space_group_name_H-M_alt 'P 4/m m m'
_space_group_IT_number 123
_space_group_name_Hall '-P 4 2'
loop_
_atom_site_label
_atom_site_type_symbol
_atom_site_fract_x
_atom_site_fract_y
_atom_site_fract_z
Mg1 Mg 0.000 0.000 0.000
Zn1 Zn 0.000 0.000 0.500
B1 B 0.500 0.500 0.000
H1 H 0.000 0.500 0.500

---

No. 10
# CsNaIn2I6, relaxed, DFT PBE
# Formation energy from raw total energies   -0.822 eV per atom
# Total magnetization   0.00 μB per cell
# Volume   45.8 A^3/atom
data_CsNaIn2I6
_chemical_formula_sum 'Cs1 Na1 In2 I6'
_cell_length_a 8.573
_cell_length_b 8.577
_cell_length_c 8.581
_cell_angle_alpha 61.25
_cell_angle_beta 61.23
_cell_angle_gamma 61.18
_space_group_name_H-M_alt 'P 1'
_space_group_IT_number 1
loop_
_space_group_symop_operation_xyz
'x,y,z'
loop_
_atom_site_label
_atom_site_type_symbol
_atom_site_fract_x
_atom_site_fract_y
_atom_site_fract_z
Cs1 Cs 0.000 0.000 0.000
Na1 Na 0.449 0.448 0.448
In1 In 0.249 0.247 0.249
In2 In 0.754 0.753 0.755
I1 I 0.037 0.422 0.558
I2 I 0.136 0.904 0.469
I3 I 0.422 0.557 0.037
I4 I 0.469 0.134 0.906
I5 I 0.559 0.036 0.423
I6 I 0.905 0.468 0.137

---

No. 11
# BOsPb2, relaxed, DFT PBE
# Total magnetization   0.00 μB per cell
# Volume   24.7 A^3/atom
# Formation enthalpy at 0 K   6.24 eV/f.u.
data_BOsPb2
_chemical_formula_sum 'B4 Os4 Pb8'
_cell_length_a 6.136
_cell_length_b 6.136
_cell_length_c 10.491
_cell_angle_alpha 90.00
_cell_angle_beta 90.00
_cell_angle_gamma 90.00
_space_group_name_H-M_alt 'I -4 2 d'
_space_group_IT_number 122
_space_group_name_Hall 'I -4 2bw'
loop_
_atom_site_label
_atom_site_type_symbol
_atom_site_fract_x
_atom_site_fract_y
_atom_site_fract_z
B1 B 0.000 0.000 0.000
Os1 Os 0.000 0.000 0.500
Pb1 Pb 0.211 0.250 0.125